(1)
First-principles (PBE) data for an optimized crystal structure of RbCuP2, as listed in Alexandria via LeMat-Bulk.

a = 4.945 Å, b = 4.945 Å, c = 15.782 Å
α = 90.00°, β = 90.00°, γ = 90.00°
Space group I4_1/amd (No. 141, origin choice 2)
Unique sites:
Rb (0.000, 0.250, 0.375) (multiplicity 4)
Cu (0.000, 0.250, 0.875) (multiplicity 4)
P (0.000, 0.000, 0.000) (multiplicity 8)

Values from the calculation:
Offset from the most stable computed form (meV per atom): 0.0
E_tot (Ha/atom): -0.1459
ΔH_f (0 K) (eV/atom): 0.00

***

(2)
First-principles (PBE) data for an optimized crystal structure of RbCuP2Rh, as listed in Alexandria via LeMat-Bulk.

a = 4.526 Å, b = 4.526 Å, c = 6.454 Å
α = 90.00°, β = 90.00°, γ = 90.00°
Space group P4/mmm (No. 123)
Unique sites:
Rb (0.000, 0.000, 0.000) (multiplicity 1)
Cu (0.500, 0.500, 0.000) (multiplicity 1)
P (0.000, 0.500, 0.500) (multiplicity 2)
Rh (0.000, 0.000, 0.500) (multiplicity 1)

Values from the calculation:
E_tot (Ha/atom): -0.1493
ΔH_f (0 K) (eV/atom): 0.58

***

(3)
First-principles (PBE) data for an optimized crystal structure of RbCuP2S6, as listed in Alexandria via LeMat-Bulk.

a = 13.030 Å, b = 15.340 Å, c = 5.852 Å
α = 90.00°, β = 102.18°, γ = 90.00°
Space group C2/c (No. 15)
Unique sites:
Rb (0.000, 0.138, 0.250) (multiplicity 4)
Cu (0.000, 0.357, 0.750) (multiplicity 4)
P (0.215, 0.434, 0.132) (multiplicity 8)
S (0.131, 0.075, 0.806) (multiplicity 8)
S (0.138, 0.323, 0.006) (multiplicity 8)
S (0.148, 0.454, 0.434) (multiplicity 8)

Values from the calculation:
Uncorrected formation energy (eV per atom): -0.3931
E_tot (Ha/atom): -0.1638

***

(4)
First-principles (PBE) data for an optimized crystal structure of RbCu2P2S7, as listed in Alexandria via LeMat-Bulk.

a = 6.1742 Å, b = 6.1742 Å, c = 32.8920 Å
α = 90.00°, β = 90.00°, γ = 120.00°
Space group R32 (No. 155, hexagonal axes)
Unique sites:
Rb (0.0000, 0.0000, 0.0000) (multiplicity 3)
Cu (0.0000, 0.0000, 0.2438) (multiplicity 6)
P (0.0000, 0.0000, 0.4340) (multiplicity 6)
S (0.0000, 0.0000, 0.5000) (multiplicity 3)
S (0.0063, 0.3594, 0.2499) (multiplicity 18)

Values from the calculation:
Uncorrected formation energy (eV per atom): -0.2413
E_tot (Ha/atom): -0.1585

***

(5)
First-principles (PBE) data for an optimized crystal structure of RbCuP2S8, as listed in Alexandria via LeMat-Bulk.

a = 5.4668 Å, b = 5.4668 Å, c = 11.3752 Å
α = 90.00°, β = 90.00°, γ = 120.00°
Space group P-3 (No. 147)
Unique sites:
Rb (0.0000, 0.0000, 0.0000) (multiplicity 1)
Cu (0.0000, 0.0000, 0.5000) (multiplicity 1)
P (0.3333, 0.6667, 0.7094) (multiplicity 2)
S (0.0301, 0.6768, 0.3629) (multiplicity 6)
S (0.3333, 0.6667, 0.8834) (multiplicity 2)

Values from the calculation:
Uncorrected formation energy (eV per atom): -0.1444
E_tot (Ha/atom): -0.1551

***

(6)
First-principles (PBE) data for an optimized crystal structure of RbCuPS4, as listed in Alexandria via LeMat-Bulk.

a = 6.004 Å, b = 6.574 Å, c = 9.020 Å
α = 90.00°, β = 106.79°, γ = 90.00°
Space group P2_1/m (No. 11)
Unique sites:
Rb (0.241, 0.250, 0.104) (multiplicity 2)
Cu (0.125, 0.750, 0.488) (multiplicity 2)
P (0.376, 0.250, 0.695) (multiplicity 2)
S (0.133, 0.014, 0.684) (multiplicity 4)
S (0.369, 0.750, 0.105) (multiplicity 2)
S (0.482, 0.250, 0.500) (multiplicity 2)

Values from the calculation:
Uncorrected formation energy (eV per atom): -0.4504
E_tot (Ha/atom): -0.1582

***

(7)
First-principles (PBE) data for an optimized crystal structure of Rb2CuPS4, as listed in Alexandria via LeMat-Bulk.

a = 5.845 Å, b = 13.171 Å, c = 23.724 Å
α = 90.00°, β = 90.00°, γ = 90.00°
Space group Fddd (No. 70, origin choice 2)
Unique sites:
Rb (0.125, 0.125, 0.304) (multiplicity 16)
Cu (0.125, 0.125, 0.125) (multiplicity 8)
P (0.125, 0.125, 0.625) (multiplicity 8)
S (0.086, 0.285, 0.826) (multiplicity 32)

Values from the calculation:
Uncorrected formation energy (eV per atom): -0.7217
E_tot (Ha/atom): -0.1549

***

(8)
First-principles (PBE) data for an optimized crystal structure of Rb2CuPSe4, as listed in Alexandria via LeMat-Bulk.

a = 6.194 Å, b = 13.523 Å, c = 24.842 Å
α = 90.00°, β = 90.00°, γ = 90.00°
Space group Fddd (No. 70, origin choice 2)
Unique sites:
Rb (0.125, 0.125, 0.306) (multiplicity 16)
Cu (0.125, 0.125, 0.125) (multiplicity 8)
P (0.125, 0.125, 0.625) (multiplicity 8)
Se (0.093, 0.281, 0.825) (multiplicity 32)

Values from the calculation:
Uncorrected formation energy (eV per atom): -0.5930
E_tot (Ha/atom): -0.1384